Record 1
The following is a PBE calculation of crystalline K2TlCd3Hg4 at its relaxed geometry, from the Alexandria database.

The value obtained for the calculated total energy is -0.977 eV/atom.

The structure belongs to space group P-4m2 (No. 115); the cell edges are 5.045, 5.045 and 12.221 Å and the angles 90.00°, 90.00° and 90.00°. The distinct sites, in fractional coordinates, are K at (0.000, 0.500, 0.245), Tl at (0.000, 0.000, 0.500), Cd at (0.000, 0.500, 0.874), Cd at (0.500, 0.500, 0.500), Hg at (0.000, 0.000, 0.000), Hg at (0.000, 0.500, 0.640) and Hg at (0.500, 0.500, 0.000).

***

Record 2
The following is a PBE calculation of crystalline KTlCdHg2 at its relaxed geometry, from the Alexandria database.

The calculation puts the excess energy over the best structure of this formula in the dataset at 130 meV/atom. The value obtained for the calculated total energy is -0.998 eV/atom.

The structure belongs to space group P4/mmm (No. 123); the cell edges are 5.708, 5.708 and 5.687 Å and the angles 90.00°, 90.00° and 90.00°. The distinct sites, in fractional coordinates, are K at (0.000, 0.000, 0.000), Tl at (0.500, 0.500, 0.000), Cd at (0.500, 0.500, 0.500) and Hg at (0.000, 0.500, 0.500).

***

Record 3
The following is a PBE calculation of crystalline KTl6CdHg at its relaxed geometry, from the Alexandria database.

The value obtained for the calculated total energy is -1.812 eV/atom.

The structure belongs to space group Imma (No. 74); the cell edges are 8.671, 10.651 and 13.047 Å and the angles 90.00°, 90.00° and 90.00°. The distinct sites, in fractional coordinates, are K at (0.000, 0.250, 0.194), Tl at (0.000, 0.250, 0.519), Tl at (0.000, 0.250, 0.906), Tl at (0.188, 0.010, 0.373), Cd at (0.250, 0.250, 0.750) and Hg at (0.000, 0.000, 0.000).

***

Record 4
The following is a PBE calculation of crystalline KTlCd2Hg4 at its relaxed geometry, from the Alexandria database.

The value obtained for the calculated total energy is -0.896 eV/atom.

The structure belongs to space group R-3m (No. 166, hexagonal axes); the cell edges are 5.1498, 5.1498 and 30.2524 Å and the angles 90.00°, 90.00° and 120.00°. The distinct sites, in fractional coordinates, are K at (0.0000, 0.0000, 0.0000), Tl at (0.0000, 0.0000, 0.5000), Cd at (0.0000, 0.0000, 0.2441), Hg at (0.0000, 0.0000, 0.1238) and Hg at (0.0000, 0.0000, 0.3892).

***

Record 5
The following is a PBE calculation of crystalline KTlCd2Hg at its relaxed geometry, from the Alexandria database.

The value obtained for the calculated total energy is -1.215 eV/atom.

The structure belongs to space group Imm2 (No. 44); the cell edges are 4.688, 4.988 and 13.287 Å and the angles 90.00°, 90.00° and 90.00°. The distinct sites, in fractional coordinates, are K at (0.000, 0.000, 0.000), Tl at (0.000, 0.500, 0.747), Cd at (0.000, 0.000, 0.617), Cd at (0.000, 0.500, 0.263) and Hg at (0.000, 0.000, 0.401).

***

Record 6
The following is a PBE calculation of crystalline K2Tl3Cd4Hg at its relaxed geometry, from the Alexandria database.

The value obtained for the calculated total energy is -1.384 eV/atom.

The structure belongs to space group P-4m2 (No. 115); the cell edges are 5.221, 5.221 and 11.948 Å and the angles 90.00°, 90.00° and 90.00°. The distinct sites, in fractional coordinates, are K at (0.000, 0.500, 0.248), Tl at (0.000, 0.000, 0.000), Tl at (0.000, 0.500, 0.628), Cd at (0.000, 0.000, 0.500), Cd at (0.000, 0.500, 0.875), Cd at (0.500, 0.500, 0.500) and Hg at (0.500, 0.500, 0.000).

***

Record 7
The following is a PBE calculation of crystalline K2TlCd3Hg12 at its relaxed geometry, from the Alexandria database.

The value obtained for the calculated total energy is -0.669 eV/atom.

The structure belongs to space group R-3m (No. 166, hexagonal axes); the cell edges are 6.9733, 6.9733 and 39.4554 Å and the angles 90.00°, 90.00° and 120.00°. The distinct sites, in fractional coordinates, are K at (0.0000, 0.0000, 0.1385), Tl at (0.0000, 0.0000, 0.5000), Cd at (0.0000, 0.5000, 0.0000), Hg at (0.0194, 0.5097, 0.8911) and Hg at (0.0413, 0.5207, 0.6148).

***

Record 8
The following is a PBE calculation of crystalline KTl2Cd2Hg2 at its relaxed geometry, from the Alexandria database.

The value obtained for the calculated total energy is -1.256 eV/atom.

The structure belongs to space group R-3m (No. 166, hexagonal axes); the cell edges are 5.0524, 5.0524 and 29.2209 Å and the angles 90.00°, 90.00° and 120.00°. The distinct sites, in fractional coordinates, are K at (0.0000, 0.0000, 0.0000), Tl at (0.0000, 0.0000, 0.1396), Cd at (0.0000, 0.0000, 0.4284) and Hg at (0.0000, 0.0000, 0.2642).